20
Lattice="5.610 3.239 2.673 -5.610 3.239 2.673 0.000 -6.478 2.673" Properties=species:S:1:pos:R:3 comment="RbNa3Zn4H12 PBE optimized geometry" spacegroup=R32 total_magnetization_mub_per_cell=0.00 crystal_system=trigonal dos_at_fermi_per_ev_cell=0.00 final_energy_ev_per_cell=-51.3 pbc="T T T"
Rb 0.000 0.000 0.000
Na -3.130 -1.057 2.673
Na 2.480 -2.182 2.673
Na 0.650 3.239 2.673
Zn -2.415 -4.182 4.010
Zn 0.000 0.000 4.010
Zn -2.415 4.182 4.010
Zn 4.829 0.000 4.010
H -3.217 -2.786 4.046
H -4.773 0.000 4.010
H -0.805 -4.179 3.974
H -3.217 2.786 3.974
H -1.611 0.000 4.010
H 2.387 -4.134 4.010
H 0.805 -1.395 4.010
H 0.805 1.395 4.010
H -0.805 4.179 4.046
H 4.022 -1.393 4.046
H 2.387 4.134 4.010
H 4.022 1.393 3.974


11
Lattice="5.270 -2.909 0.000 5.270 2.909 0.000 -3.411 0.000 6.139" Properties=species:S:1:pos:R:3 comment="Rb2NaZn2H6 PBE optimized geometry" spacegroup=C2/m total_magnetization_mub_per_cell=0.01 crystal_system=monoclinic dos_at_fermi_per_ev_cell=2.31 final_energy_ev_per_cell=-27.2 pbc="T T T"
Rb 1.587 0.000 1.117
Rb 5.541 0.000 5.022
Na -1.705 0.000 3.070
Zn 2.085 0.000 4.804
Zn 5.043 0.000 1.335
H 4.184 1.403 1.431
H 0.613 0.000 4.066
H 2.944 1.403 4.708
H 4.184 -1.403 1.431
H 6.516 0.000 2.073
H 2.944 -1.403 4.708


18
Lattice="-3.974 3.974 5.275 3.974 -3.974 5.275 3.974 3.974 -5.275" Properties=species:S:1:pos:R:3 comment="Rb2NaZnH5 PBE optimized geometry" spacegroup=I4/mcm total_magnetization_mub_per_cell=0.00 crystal_system=tetragonal dos_at_fermi_per_ev_cell=0.00 final_energy_ev_per_cell=-45.4 pbc="T T T"
Rb 5.436 1.462 0.000
Rb 1.462 2.512 0.000
Rb 2.512 1.462 5.275
Rb -1.462 2.512 5.275
Na 0.000 0.000 2.638
Na 0.000 0.000 7.913
Zn 3.974 0.000 2.638
Zn 0.000 3.974 2.638
H 0.000 0.000 0.000
H 4.941 -0.967 1.707
H 3.007 -0.967 3.568
H 3.007 0.967 1.707
H 4.941 0.967 3.568
H 0.000 0.000 5.275
H -0.967 3.007 1.707
H 0.967 3.007 3.568
H 0.967 4.941 1.707
H -0.967 4.941 3.568